(1)
Here is a relaxed CeSm3Dy3 crystal from the Alexandria database. Energies are from GGA-PBE.

Unit cell a=11.5384 b=11.4259 c=7.1592 alpha=90.00 beta=90.01 gamma=90.00
With the nearest neighbours (Å) after each atom.
Space group C2/m (No. 12)
Asymmetric unit:
Ce: 0.2089 0.0000 0.0009 x4  4 Sm 3.39, 4 Dy 3.46-3.59
Sm: 0.0004 0.5000 0.2499 x4  2 Sm 3.58, 6 Dy 3.69-3.77, 2 Ce 3.80-3.81
Sm: 0.2500 0.2495 0.7535 x8  2 Ce 3.39, 6 Dy 3.40-3.44, 2 Sm 3.53-3.63
Dy: 0.0000 0.2101 0.5000 x4  6 Sm 3.44-3.77, 4 Dy 3.48-3.58
Dy: 0.0000 0.2173 0.0000 x4  6 Sm 3.40-3.69, 2 Ce 3.46, 2 Dy 3.58
Dy: 0.2179 0.0000 0.4990 x4  6 Sm 3.40-3.71, 2 Dy 3.48, 2 Ce 3.57-3.59

Properties
size of the total moment = 5.1 Bohr magnetons per cell
total energy = -4.629 eV/atom
energy of formation from the pure elements = 4.92 kcal/mol of atoms



(2)
Here is a relaxed Mg2Cd5Hg crystal from the Alexandria database. Energies are from GGA-PBE.

Unit cell a=6.3235 b=12.6069 c=4.4374 alpha=90.00 beta=90.00 gamma=90.00
With the nearest neighbours (Å) after each atom.
Space group Pbam (No. 55)
Asymmetric unit:
Mg: 0.2283 0.1188 0.0000 x4  2 Hg 3.04, 10 Cd 3.15-3.20
Cd: 0.0000 0.5000 0.5000 x2  6 Cd 3.12-3.13, 2 Hg 3.16, 4 Mg 3.18
Cd: 0.0204 0.7481 0.5000 x4  7 Cd 3.10-3.16, 1 Hg 3.18, 4 Mg 3.18-3.20
Cd: 0.2295 0.3690 0.0000 x4  6 Cd 3.10-3.12, 4 Mg 3.15-3.17, 2 Hg 3.25
Hg: 0.0000 0.0000 0.5000 x2  4 Mg 3.04, 8 Cd 3.16-3.25

Properties
size of the total moment = 0.0 Bohr magnetons per cell
total energy = -1.085 eV/atom
energy of formation from the pure elements = -1.76 kcal/mol of atoms



(3)
Here is a relaxed Pm4NiSI2 crystal from the Alexandria database. Energies are from GGA-PBE.

Unit cell a=7.3368 b=4.0363 c=8.1031 alpha=90.00 beta=106.75 gamma=90.00
With the nearest neighbours (Å) after each atom.
Space group P2/m (No. 10)
Asymmetric unit:
Pm: 0.2114 0.0000 0.1870 x2  2 Ni 2.72, 1 S 2.94
Pm: 0.2716 0.5000 0.8097 x2  2 S 2.79, 1 Ni 2.85
Ni: 0.0000 0.5000 0.0000 x1  6 Pm 2.72-2.85
S: 0.5000 0.0000 0.0000 x1  6 Pm 2.79-2.94
I: 0.0000 0.0000 0.5000 x1  6 Pm 3.33-3.38
I: 0.5000 0.5000 0.5000 x1  6 Pm 3.40-3.45

Properties
formation energy without anion corrections = -1072 meV per atom
size of the total moment = 0.0 Bohr magnetons per cell
total energy = -5.073 eV/atom



(4)
Here is a relaxed Ac2PuZnPt6 crystal from the Alexandria database. Energies are from GGA-PBE.

Unit cell a=5.8496 b=5.9207 c=7.3653 alpha=96.38 beta=104.27 gamma=108.28
With the nearest neighbours (Å) after each atom.
Space group P-1 (No. 2)
Asymmetric unit:
Ac: 0.0061 0.3103 0.2309 x2  7 Pt 2.94-3.26
Pu: 0.5000 0.0000 0.5000 x1  6 Pt 2.82-3.05
Zn: 0.5000 0.5000 0.0000 x1  6 Pt 2.58-2.72
Pt: 0.0257 0.2059 0.7867 x2  2 Pt 2.69-2.79, 1 Zn 2.72, 2 Ac 2.94-2.99
Pt: 0.3847 0.4307 0.6317 x2  1 Zn 2.58, 2 Pt 2.68-2.69
Pt: 0.3923 0.0813 0.1228 x2  1 Zn 2.68, 3 Pt 2.70-2.94, 1 Pu 2.82

Properties
size of the total moment = 5.1 Bohr magnetons per cell
total energy = -6.754 eV/atom
energy of formation from the pure elements = -17.24 kcal/mol of atoms



(5)
Here is a relaxed CuSbPt crystal from the Alexandria database. Energies are from GGA-PBE.

Unit cell a=6.0648 b=6.0648 c=6.0648 alpha=90.00 beta=90.00 gamma=90.00
With the nearest neighbours (Å) after each atom.
Space group F-43m (No. 216)
Asymmetric unit:
Cu: 0.0000 0.0000 0.0000 x4  4 Sb 2.63, 4 Pt 2.63
Sb: 0.2500 0.2500 0.7500 x4  4 Cu 2.63
Pt: 0.2500 0.2500 0.2500 x4  4 Cu 2.63

Properties
formation energy without anion corrections = -63 meV per atom
size of the total moment = 0.0 Bohr magnetons per cell
total energy = -4.816 eV/atom
relative energy among the computed polymorphs = 0.183 eV per atom



(6)
Here is a relaxed FeNiAu2 crystal from the Alexandria database. Energies are from GGA-PBE.

Unit cell a=2.8064 b=4.1611 c=5.3203 alpha=90.00 beta=105.12 gamma=90.00
With the nearest neighbours (Å) after each atom.
Space group Pm (No. 6)
Asymmetric unit:
Fe: 0.0000 0.0000 0.0000 x1  2 Ni 2.42
Ni: 0.1248 0.5000 0.2408 x1  2 Fe 2.42
Au: 0.3893 0.5000 0.7763 x1  3 Ni 2.75-2.78, 4 Fe 2.76, 6 Au 2.81-2.99
Au: 0.7325 0.0000 0.4598 x1  3 Fe 2.74-2.77, 4 Ni 2.75, 6 Au 2.81-2.99

Properties
size of the total moment = 3.7 Bohr magnetons per cell
total energy = -5.072 eV/atom
energy of formation from the pure elements = 2.94 kcal/mol of atoms
relative energy among the computed polymorphs = 0.063 eV per atom



(7)
Here is a relaxed CeMg6Cd crystal from the Alexandria database. Energies are from GGA-PBE.

Unit cell a=5.0879 b=6.4055 c=12.0828 alpha=90.00 beta=90.00 gamma=90.00
With the nearest neighbours (Å) after each atom.
Space group Amm2 (No. 38)
Asymmetric unit:
Ce: 0.0000 0.0000 0.0000 x2  2 Cd 3.21, 10 Mg 3.23-3.49
Mg: 0.0000 0.0000 0.5350 x2  8 Mg 3.16-3.18, 2 Ce 3.23
Mg: 0.0000 0.2432 0.2587 x4  7 Mg 3.07-3.31, 2 Cd 3.18, 1 Ce 3.35
Mg: 0.5000 0.0000 0.3779 x2  10 Mg 3.17-3.53, 2 Cd 3.24
Mg: 0.5000 0.2460 0.1162 x4  7 Mg 3.07-3.31, 1 Cd 3.14, 2 Ce 3.31
Cd: 0.5000 0.0000 0.8382 x2  8 Mg 3.14-3.24, 2 Ce 3.21

Properties
size of the total moment = 2.7 Bohr magnetons per cell
total energy = -2.034 eV/atom
energy of formation from the pure elements = 0.42 kcal/mol of atoms
relative energy among the computed polymorphs = 0.000 eV per atom



(8)
Here is a relaxed La6CeNd2Dy crystal from the Alexandria database. Energies are from GGA-PBE.

Unit cell a=11.8102 b=7.0061 c=10.0088 alpha=90.00 beta=120.20 gamma=90.00
With the nearest neighbours (Å) after each atom.
Space group C2/m (No. 12)
Asymmetric unit:
La: 0.1511 0.0000 0.4211 x4  3 Nd 3.63-4.01, 1 Ce 3.66, 1 Dy 3.78, 2 La 3.79
La: 0.1850 0.2228 0.8177 x8  2 La 3.12-3.19, 1 Dy 3.42, 2 Nd 3.44-3.45
Ce: 0.0000 0.0000 0.0000 x2  10 La 3.66-3.81, 4 Nd 3.90
Nd: 0.0606 0.5000 0.1960 x4  1 Nd 3.43, 5 La 3.44-3.63, 1 Dy 3.46
Dy: 0.0000 0.5000 0.5000 x2  6 La 3.42-3.78, 2 Nd 3.46

Properties
size of the total moment = 1.7 Bohr magnetons per cell
total energy = -4.761 eV/atom
energy of formation from the pure elements = 4.67 kcal/mol of atoms



Copy entry 8 word for word.
Here is a relaxed La6CeNd2Dy crystal from the Alexandria database. Energies are from GGA-PBE.

Unit cell a=11.8102 b=7.0061 c=10.0088 alpha=90.00 beta=120.20 gamma=90.00
With the nearest neighbours (Å) after each atom.
Space group C2/m (No. 12)
Asymmetric unit:
La: 0.1511 0.0000 0.4211 x4  3 Nd 3.63-4.01, 1 Ce 3.66, 1 Dy 3.78, 2 La 3.79
La: 0.1850 0.2228 0.8177 x8  2 La 3.12-3.19, 1 Dy 3.42, 2 Nd 3.44-3.45
Ce: 0.0000 0.0000 0.0000 x2  10 La 3.66-3.81, 4 Nd 3.90
Nd: 0.0606 0.5000 0.1960 x4  1 Nd 3.43, 5 La 3.44-3.63, 1 Dy 3.46
Dy: 0.0000 0.5000 0.5000 x2  6 La 3.42-3.78, 2 Nd 3.46

Properties
size of the total moment = 1.7 Bohr magnetons per cell
total energy = -4.761 eV/atom
energy of formation from the pure elements = 4.67 kcal/mol of atoms



> Which of these has the lowest total energy?

Ac2PuZnPt6